P.
5
Lattice="-1.418 -2.990 -2.482 3.747 -0.352 -1.717 1.129 -3.109 3.100" Properties=species:S:1:pos:R:3 comment="NaAgHAu2 (PBE, optimized geometry)" n_ef_per_ev_atom=0.34 volume_a3_per_atom=15.5 pbc="T T T"
Ag 1.729 -3.226 -0.550
Na 0.564 -1.554 1.550
Au 1.874 -0.176 -0.859
Au -0.709 -1.495 -1.241
H 0.000 0.000 0.000


Q.
5
Lattice="-3.617 1.463 1.782 -1.627 -3.969 -0.044 1.623 -0.709 3.878" Properties=species:S:1:pos:R:3 comment="NaAgHAu2 (PBE, optimized geometry)" n_ef_per_ev_atom=0.24 volume_a3_per_atom=15.7 pbc="T T T"
Au -0.813 -1.984 -0.022
Au -1.809 0.731 0.891
H 0.000 0.000 0.000
Ag 0.812 -0.354 1.939
Na -1.810 -1.607 2.808


Relative energies, meV/atom: P 0; Q 51.


P.
5
Lattice="4.153 0.000 0.000 0.000 4.153 0.000 0.000 0.000 4.544" Properties=species:S:1:pos:R:3 comment="NaAg2HAu (PBE, optimized geometry)" n_ef_per_ev_atom=0.31 volume_a3_per_atom=15.7 pbc="T T T"
Au 2.077 2.077 2.272
Ag 0.000 2.077 0.000
Ag 2.077 0.000 0.000
H 0.000 0.000 0.000
Na 0.000 0.000 2.272


Q.
5
Lattice="4.479 0.000 0.000 0.000 4.479 0.000 0.000 0.000 3.958" Properties=species:S:1:pos:R:3 comment="NaAg2HAu (PBE, optimized geometry)" n_ef_per_ev_atom=0.25 volume_a3_per_atom=15.9 pbc="T T T"
Ag 0.000 2.240 0.000
Ag 2.240 0.000 0.000
Na 2.240 2.240 1.979
H 0.000 0.000 0.000
Au 0.000 0.000 1.979


Relative energies, meV/atom: P 0; Q 79.


P.
5
Lattice="4.379 0.000 0.000 0.000 4.379 0.000 0.000 0.000 3.758" Properties=species:S:1:pos:R:3 comment="Ag2HPdAu (PBE, optimized geometry)" n_ef_per_ev_atom=0.12 volume_a3_per_atom=14.4 pbc="T T T"
Ag 2.190 0.000 0.000
Ag 0.000 2.190 0.000
Pd 0.000 0.000 1.879
Au 2.190 2.190 1.879
H 0.000 0.000 0.000


Q.
5
Lattice="4.249 0.000 0.000 0.000 4.249 0.000 0.000 0.000 3.991" Properties=species:S:1:pos:R:3 comment="Ag2HPdAu (PBE, optimized geometry)" n_ef_per_ev_atom=0.29 volume_a3_per_atom=14.4 pbc="T T T"
Ag 2.124 0.000 0.000
Ag 0.000 2.124 0.000
H 0.000 0.000 0.000
Au 0.000 0.000 1.995
Pd 2.124 2.124 1.995


Relative energies, meV/atom: P 0; Q 152.


P.
5
Lattice="-0.462 -0.183 -4.004 1.387 -3.789 0.013 -3.943 -1.442 0.521" Properties=species:S:1:pos:R:3 comment="AgHPd2Au (PBE, optimized geometry)" n_ef_per_ev_atom=0.24 volume_a3_per_atom=13.8 pbc="T T T"
Pd 0.694 -1.894 0.006
Pd -0.231 -0.091 -2.002
Au -1.509 -2.707 -1.735
H 0.000 0.000 0.000
Ag -1.971 -0.721 0.261


Q.
5
Lattice="4.057 0.000 0.000 0.000 4.057 0.000 0.000 0.000 4.189" Properties=species:S:1:pos:R:3 comment="AgHPd2Au (PBE, optimized geometry)" n_ef_per_ev_atom=0.32 volume_a3_per_atom=13.8 pbc="T T T"
Pd 2.029 0.000 0.000
Pd 0.000 2.029 0.000
H 0.000 0.000 0.000
Ag 2.029 2.029 2.095
Au 0.000 0.000 2.095


Relative energies, meV/atom: P 0; Q 16.